(1)
First-principles (PBE) data for a geometry-optimized ReSiSe2 structure, as listed in the Alexandria database.

E_form (uncorrected) ... 2.41 eV/f.u.
E ... -5.607 eV per atom
Calculated density ... 6.66 g/cm3

abc: 5.822 5.822 6.852
angles: 64.86 64.86 90.00
Sites, in units of the cell vectors:
1 Si 0.500 0.500 0.000
2 Re 0.750 0.250 0.500
3 Se 0.875 0.896 0.750
4 Re 0.000 0.000 0.000
5 Si 0.250 0.750 0.500
6 Se 0.104 0.625 0.250
7 Se 0.375 0.354 0.750
8 Se 0.646 0.125 0.250

(2)
First-principles (PBE) data for a geometry-optimized Hg12As3Pb5 structure, as listed in the Alexandria database.

Formation enthalpy at 0 K ... 204 meV per atom
E ... -1.602 eV per atom
Calculated density ... 9.61 g/cm3

abc: 14.876 14.876 14.876
angles: 109.47 109.47 109.47
Sites, in units of the cell vectors:
1 Hg 0.940 0.828 0.570
2 Pb 0.125 0.375 0.250
3 Hg 0.440 0.369 0.611
4 Hg 0.560 0.631 0.389
5 Pb 0.000 0.000 0.000
6 As 0.875 0.125 0.250
7 Hg 0.611 0.742 0.672
8 Hg 0.672 0.430 0.560
9 Hg 0.172 0.111 0.742
10 Hg 0.742 0.611 0.172
11 Hg 0.060 0.889 0.131
12 As 0.750 0.875 0.625
13 Hg 0.869 0.258 0.430
14 Pb 0.000 0.500 0.500
15 Hg 0.060 0.172 0.430
16 Hg 0.070 0.631 0.742
17 Pb 0.875 0.250 0.625
18 Pb 0.750 0.625 0.375
19 As 0.375 0.625 0.250
20 Hg 0.389 0.131 0.560
21 Pb 0.375 0.125 0.750
22 Pb 0.500 0.000 0.500
23 Hg 0.869 0.611 0.940
24 Hg 0.631 0.560 0.889
25 Hg 0.889 0.060 0.631
26 Hg 0.570 0.242 0.131
27 Pb 0.125 0.750 0.375
28 As 0.625 0.375 0.750
29 As 0.625 0.250 0.375
30 Hg 0.328 0.570 0.440
31 Hg 0.889 0.828 0.758
32 Hg 0.930 0.369 0.258
33 Hg 0.111 0.172 0.242
34 Hg 0.369 0.440 0.111
35 As 0.750 0.375 0.125
36 Hg 0.440 0.070 0.328
37 Hg 0.758 0.430 0.369
38 Hg 0.930 0.560 0.172
39 Hg 0.328 0.758 0.389
40 Hg 0.430 0.672 0.060
41 As 0.125 0.250 0.875
42 Hg 0.940 0.111 0.869
43 Hg 0.570 0.328 0.940
44 Pb 0.250 0.875 0.125
45 Hg 0.070 0.440 0.828
46 Hg 0.611 0.869 0.440
47 Hg 0.172 0.060 0.930
48 Hg 0.631 0.070 0.242
49 Pb 0.500 0.500 0.000
50 Hg 0.560 0.930 0.672
51 As 0.375 0.750 0.625
52 Hg 0.242 0.672 0.111
53 Hg 0.258 0.869 0.930
54 As 0.250 0.125 0.375
55 Hg 0.672 0.242 0.611
56 As 0.125 0.875 0.750
57 Pb 0.000 0.500 0.000
58 Hg 0.758 0.328 0.889
59 Pb 0.500 0.500 0.500
60 Hg 0.131 0.742 0.570
61 Hg 0.111 0.940 0.369
62 Hg 0.742 0.131 0.070
63 Pb 0.000 0.000 0.500
64 Pb 0.375 0.250 0.125
65 Hg 0.389 0.258 0.328
66 Hg 0.828 0.889 0.258
67 As 0.250 0.625 0.875
68 Hg 0.430 0.758 0.869
69 Hg 0.258 0.389 0.828
70 Pb 0.625 0.875 0.250
71 Hg 0.131 0.389 0.060
72 Hg 0.828 0.940 0.070
73 Pb 0.750 0.125 0.875
74 As 0.875 0.750 0.125
75 Pb 0.625 0.750 0.875
76 Pb 0.875 0.625 0.750
77 Pb 0.500 0.000 0.000
78 Hg 0.242 0.570 0.631
79 Pb 0.250 0.375 0.625
80 Hg 0.369 0.930 0.758

(3)
First-principles (PBE) data for a geometry-optimized YSbTe2As structure, as listed in the Alexandria database.

E_form (uncorrected) ... 0.07 eV/f.u.
E ... -4.290 eV per atom
Calculated density ... 5.78 g/cm3
Polymorph energy (0 for the lowest one) ... 0 meV per atom

abc: 5.459 5.459 5.213
angles: 90.00 90.00 90.00
Sites, in units of the cell vectors:
1 Te 0.000 0.500 0.000
2 Sb 0.000 0.000 0.500
3 Y 0.500 0.500 0.500
4 Te 0.500 0.000 0.000
5 As 0.000 0.000 0.000

(4)
First-principles (PBE) data for a geometry-optimized Gd4ErTh structure, as listed in the Alexandria database.

Formation enthalpy at 0 K ... 306 meV per atom
E ... -11.078 eV per atom
Calculated density ... 8.69 g/cm3

abc: 6.526 6.526 6.526
angles: 60.00 60.00 60.00
Each line ends with the local moment (μB).
Sites, in units of the cell vectors:
1 Gd 0.625 0.625 0.625  7.26
2 Gd 0.625 0.126 0.625  7.26
3 Gd 0.126 0.625 0.625  7.26
4 Gd 0.625 0.625 0.126  7.26
5 Th 0.250 0.250 0.250  0.18
6 Er 0.000 0.000 0.000  0.14

(5)
First-principles (PBE) data for a geometry-optimized Dy2YTeO8 structure, as listed in the Alexandria database.

E_form (uncorrected) ... -30.13 eV/f.u.
E ... -7.384 eV per atom
Calculated density ... 6.36 g/cm3

abc: 5.041 5.039 6.878
angles: 90.00 90.00 90.83
Each line ends with the local moment (μB).
Sites, in units of the cell vectors:
1 O 0.310 0.309 0.500  0.09
2 O 0.276 0.275 0.000  0.12
3 O 0.818 0.183 0.212  0.07
4 Dy 0.500 0.500 0.751  -0.01
5 Dy 0.500 0.500 0.249  -0.01
6 O 0.690 0.691 0.500  0.09
7 Te 0.000 0.000 0.000  -0.01
8 Y 0.000 0.000 0.500  0.00
9 O 0.818 0.183 0.788  0.07
10 O 0.182 0.817 0.212  0.07
11 O 0.182 0.817 0.788  0.07
12 O 0.724 0.725 0.000  0.12

(6)
First-principles (PBE) data for a geometry-optimized HgAsC2 structure, as listed in the Alexandria database.

Formation enthalpy at 0 K ... 2560 meV per atom
E ... -3.290 eV per atom
Calculated density ... 9.09 g/cm3
Polymorph energy (0 for the lowest one) ... 1175 meV per atom

abc: 4.262 4.262 4.262
angles: 60.00 60.00 60.00
Sites, in units of the cell vectors:
1 Hg 0.500 0.500 0.500
2 C 0.750 0.750 0.750
3 C 0.250 0.250 0.250
4 As 0.000 0.000 0.000

(7)
First-principles (PBE) data for a geometry-optimized Sb2TeOs structure, as listed in the Alexandria database.

E_form (uncorrected) ... 1.01 eV/f.u.
E ... -5.401 eV per atom
Calculated density ... 9.11 g/cm3

abc: 5.004 5.004 6.186
angles: 71.14 71.14 44.82
Sites, in units of the cell vectors:
1 Sb 0.927 0.927 0.128
2 Os 0.220 0.220 0.126
3 Te 0.580 0.580 0.460
4 Sb 0.773 0.773 0.786

(8)
First-principles (PBE) data for a geometry-optimized InGa2S structure, as listed in the Alexandria database.

E_form (uncorrected) ... -0.46 eV/f.u.
E ... -3.345 eV per atom
Calculated density ... 4.96 g/cm3
Polymorph energy (0 for the lowest one) ... 0 meV per atom

abc: 3.455 3.455 9.487
angles: 79.51 79.51 60.00
Sites, in units of the cell vectors:
1 Ga 0.893 0.893 0.320
2 Ga 0.107 0.107 0.680
3 S 0.500 0.500 0.500
4 In 0.000 0.000 0.000